Entry 1:
VASP calculation (PBE-GGA) on a relaxed structure of DyYCuPt.

Cell: 6.9733 6.9733 6.9733 Å, 90.00 90.00 90.00°
Space group F-43m (No. 216)
Symmetry-distinct sites (fractional):
Dy  0.0000  0.0000  0.0000 [4 per cell]
Y  0.0000  0.0000  0.5000 [4 per cell]
Cu  0.2500  0.2500  0.2500 [4 per cell]
Pt  0.2500  0.2500  0.7500 [4 per cell]

Results
Mass density in Mg/m³: 9.99
Relative energy among the computed polymorphs in kJ/mol of formula units: 15.6

***

Entry 2:
VASP calculation (PBE-GGA) on a relaxed structure of DyYCuPt.

Cell: 4.4465 3.7861 10.4978 Å, 90.00 90.00 90.00°
Space group Amm2 (No. 38)
Symmetry-distinct sites (fractional):
Dy  0.0000  0.0000  0.0000 [2 per cell]
Y  0.5000  0.0000  0.2775 [2 per cell]
Cu  0.0000  0.0000  0.7162 [2 per cell]
Pt  0.5000  0.0000  0.5596 [2 per cell]

Results
Mass density in Mg/m³: 9.58
Relative energy among the computed polymorphs in kJ/mol of formula units: 0.0

***

Entry 3:
VASP calculation (PBE-GGA) on a relaxed structure of DyZn2CuPt4.

Cell: 4.3772 4.3772 23.8407 Å, 90.00 90.00 120.00°
Space group R-3m (No. 166, hexagonal axes)
Symmetry-distinct sites (fractional):
Dy  0.0000  0.0000  0.0000 [3 per cell]
Zn  0.0000  0.0000  0.2423 [6 per cell]
Cu  0.0000  0.0000  0.5000 [3 per cell]
Pt  0.0000  0.0000  0.1274 [6 per cell]
Pt  0.0000  0.0000  0.3947 [6 per cell]

Results
Mass density in Mg/m³: 14.32

***

Entry 4:
VASP calculation (PBE-GGA) on a relaxed structure of Dy2Zn3Cu12Pt.

Cell: 5.6357 5.6357 30.7785 Å, 90.00 90.00 120.00°
Space group R-3m (No. 166, hexagonal axes)
Symmetry-distinct sites (fractional):
Dy  0.0000  0.0000  0.1432 [6 per cell]
Zn  0.0000  0.5000  0.0000 [9 per cell]
Cu  0.0127  0.5063  0.8935 [18 per cell]
Cu  0.0516  0.5258  0.6139 [18 per cell]
Pt  0.0000  0.0000  0.5000 [3 per cell]

Results
Mass density in Mg/m³: 8.70

***

Entry 5:
VASP calculation (PBE-GGA) on a relaxed structure of Dy2Zn2CuPt5.

Cell: 9.5475 9.5475 3.7666 Å, 90.00 90.00 90.00°
Space group P4/mbm (No. 127)
Symmetry-distinct sites (fractional):
Dy  0.1755  0.3245  0.0000 [4 per cell]
Zn  0.1241  0.6241  0.0000 [4 per cell]
Cu  0.0000  0.0000  0.0000 [2 per cell]
Pt  0.0000  0.5000  0.5000 [2 per cell]
Pt  0.0646  0.8001  0.5000 [8 per cell]

Results
Mass density in Mg/m³: 14.46

***

Entry 6:
VASP calculation (PBE-GGA) on a relaxed structure of Dy4ZnCu2Pt.

Cell: 4.9380 4.9380 24.3869 Å, 90.00 90.00 120.00°
Space group R-3m (No. 166, hexagonal axes)
Symmetry-distinct sites (fractional):
Dy  0.0000  0.0000  0.1222 [6 per cell]
Dy  0.0000  0.0000  0.3728 [6 per cell]
Zn  0.0000  0.0000  0.5000 [3 per cell]
Cu  0.0000  0.0000  0.2429 [6 per cell]
Pt  0.0000  0.0000  0.0000 [3 per cell]

Results
Mass density in Mg/m³: 10.04

***

| no. | VASP energy (eV per atom) | formation energy from the elements (meV per atom) | total magnetic moment (μB/f.u.) |
| --- | --- | --- | --- |
| 1 | -6.066 | -765 | 0.00 |
| 2 | -6.106 | -805 | 0.00 |
| 3 | -5.037 | -611 | 0.00 |
| 4 | -3.747 | 43 | 0.00 |
| 5 | -5.376 | -770 | 0.00 |
| 6 | -4.785 | -546 | 0.00 |